This record from Alexandria via LeMat-Bulk describes a relaxed Ac2VReO8 crystal. The functional is GGA+U.

Summary:
The value obtained for the magnetic moment is 2.000 μB per cell. The final energy is -96.4 eV/f.u.

```
Ac2VReO8
1.0
4.6360 -0.2564 -0.0326
-0.2567 5.2999 0.2248
-0.0435 0.3133 7.3228
Ac V Re O
2 1 1 8
Direct
0.3444 0.5104 0.7547
0.6556 0.4896 0.2453
0.0000 0.0000 0.5000
0.0000 0.0000 0.0000
0.1699 0.7214 0.1157
0.6823 0.7740 0.9477
0.8306 0.0406 0.2402
0.8301 0.2786 0.8843
0.3177 0.2260 0.0523
0.1694 0.9594 0.7598
0.7709 0.6920 0.5425
0.2291 0.3080 0.4575
```